1.
V2GaPAu | PBE | optimized geometry

The structure in POSCAR format:
```
V2GaPAu
1.0
-2.2468 -3.5211 -2.2321
2.7733 -3.0780 2.0640
-3.0543 -0.3355 3.6037
V P Ga Au
2 1 1 1
direct
0.0000 0.0000 0.5000
0.5000 0.0000 0.0000
0.5000 0.5000 0.5000
0.0000 0.0000 0.0000
0.0000 0.5000 0.0000
```

DFT total energy: -24.51 eV/f.u.
DOS at the Fermi energy: 10.21 states/eV/f.u.
ΔE_f: 5.44 eV/f.u.
Symmetry: P4/mmm (123)


2.
TcPtRh3 | PBE | optimized geometry

The structure in POSCAR format:
```
TcPtRh3
1.0
-1.2442 2.8265 2.2829
-0.9615 -5.2288 2.7104
6.7580 0.4059 3.1804
Rh Tc Pt
6 2 2
direct
0.3372 0.6750 0.9911
0.1662 0.3327 0.7500
0.6628 0.3250 0.0089
0.3372 0.6750 0.5089
0.8338 0.6673 0.2500
0.6628 0.3250 0.4911
0.1754 0.3511 0.2500
0.8246 0.6489 0.7500
0.0000 0.0000 0.5000
0.0000 0.0000 0.0000
```

DFT total energy: -37.35 eV/f.u.
DOS at the Fermi energy: 6.57 states/eV/f.u.
ΔE_f: 1.11 eV/f.u.
Symmetry: Cmcm (63)


3.
TbHoP2 | PBE | optimized geometry

The structure in POSCAR format:
```
TbHoP2
1.0
3.9667 0.0000 0.0000
1.9833 3.4352 0.0000
1.9833 1.1451 6.8220
P Ho Tb
2 1 1
direct
0.0814 0.0814 0.7557
0.2518 0.2518 0.2445
0.6691 0.6691 0.9928
0.4976 0.4976 0.5071
```

DFT total energy: -25.82 eV/f.u.
DOS at the Fermi energy: 0.33 states/eV/f.u.
ΔE_f: -5.79 eV/f.u.
Symmetry: R3m (160)


4.
ErTl2In | PBE | optimized geometry

The structure in POSCAR format:
```
ErTl2In
1.0
-3.8877 0.5886 2.5595
1.9047 -2.5645 3.4829
1.8360 3.9252 1.8861
In Er Tl
1 1 2
direct
0.5000 0.0000 0.0000
0.5000 0.5000 0.5000
0.0000 0.5000 0.0000
0.0000 0.0000 0.5000
```

DFT total energy: -13.04 eV/f.u.
DOS at the Fermi energy: 1.39 states/eV/f.u.
ΔE_f: -1.00 eV/f.u.
Symmetry: P4/mmm (123)


5.
VAsRu | PBE | optimized geometry

The structure in POSCAR format:
```
VAsRu
1.0
3.6169 0.0000 0.0000
0.0000 3.6169 0.0000
0.0000 0.0000 13.0761
Ru V As
4 4 4
direct
0.5000 0.5000 0.8278
0.0000 0.0000 0.6722
0.5000 0.5000 0.1722
0.0000 0.0000 0.3278
0.5000 0.0000 0.0000
0.0000 0.5000 0.0000
0.0000 0.5000 0.5000
0.5000 0.0000 0.5000
0.5000 0.5000 0.6413
0.5000 0.5000 0.3587
0.0000 0.0000 0.8587
0.0000 0.0000 0.1413
```

DFT total energy: -23.86 eV/f.u.
DOS at the Fermi energy: 2.35 states/eV/f.u.
ΔE_f: -0.82 eV/f.u.
Symmetry: I4/mmm (139)


6.
PdPbO3 | PBE | optimized geometry

The structure in POSCAR format:
```
PdPbO3
1.0
-3.7565 1.8521 -0.1106
-0.4733 -1.1979 -3.9868
-1.7940 -3.5621 1.2832
Pd Pb O
1 1 3
direct
0.5000 0.5000 0.5000
0.0000 0.0000 0.0000
0.0000 0.0000 0.5000
0.5000 0.0000 0.0000
0.0000 0.5000 0.0000
```

DFT total energy: -22.87 eV/f.u.
DOS at the Fermi energy: 3.82 states/eV/f.u.
Formation energy from raw total energies: 181 meV per atom
Symmetry: Pm-3m (221)